Record 1
Entry from Alexandria: a relaxed CrPt2Se crystal (PBE).

The structure in POSCAR format:
```
CrPt2Se
1.0
-2.9885 2.9885 4.7120
2.9885 -2.9885 4.7120
2.9885 2.9885 -4.7120
Cr Pt Se
2 4 2
Cartesian
0.0000 0.0000 0.0000 Cr
0.0000 2.9885 2.3560 Cr
4.4828 1.3480 -1.1780 Pt
1.3480 1.4943 1.1780 Pt
-1.4943 1.6406 3.5340 Pt
1.6406 1.4943 5.8900 Pt
2.9885 0.0000 2.3560 Se
0.0000 0.0000 4.7120 Se
```

## Properties
Uncorrected formation energy ... 442 meV per atom
Magnetization ... 0.0 μB/cell
Density ... 10.3 Mg/m³
E_tot ... -0.4303 Ry per atom
SG ... I-42d
DOS at the Fermi energy ... 0.683 states/eV per atom

***

Record 2
Entry from Alexandria: a relaxed Pr2H4Pt crystal (PBE).

The structure in POSCAR format:
```
Pr2H4Pt
1.0
-1.8010 1.8010 7.1432
1.8010 -1.8010 7.1432
1.8010 1.8010 -7.1432
Pr H Pt
2 4 1
Cartesian
0.0000 0.0000 2.1062 Pr
0.0000 0.0000 12.1801 Pr
1.8010 0.0000 0.0000 H
0.0000 0.0000 4.4761 H
0.0000 1.8010 0.0000 H
0.0000 0.0000 9.8103 H
0.0000 0.0000 7.1432 Pt
```

## Properties
Magnetization ... 0.0 μB/cell
Density ... 8.6 Mg/m³
E_tot ... -0.3391 Ry per atom
SG ... I4/mmm
DOS at the Fermi energy ... 0.251 states/eV per atom

***

Record 3
Entry from Alexandria: a relaxed BaInNi crystal (PBE).

The structure in POSCAR format:
```
BaInNi
1.0
4.2353 0.0000 0.0000
-0.3836 5.5014 0.0000
-1.9503 -0.4304 7.4104
Ba In Ni
2 2 2
Cartesian
0.0000 0.0000 0.0000 Ba
1.1425 -0.2152 3.7052 Ba
-1.0948 2.4845 5.2509 In
2.9963 2.5865 2.1595 In
0.8951 2.8633 0.6176 Ni
1.0064 2.2078 6.7928 Ni
```

## Properties
Formation energy ... -0.1458 eV per atom
Magnetization ... 0.0 μB/cell
Density ... 6.0 Mg/m³
E_tot ... -0.2666 Ry per atom
SG ... P-1
DOS at the Fermi energy ... 0.925 states/eV per atom